Record 1
# La2Tb

Crystalline La2Tb at its relaxed geometry (PBE-GGA, the Alexandria database).

a b c (Å): 18.2216 18.2216 18.2216
angles (deg): 11.59 11.59 11.59
Closest atoms and distances in Å follow each position.
Sites, in units of the cell vectors:
La 0.1382 0.1382 0.1382  3 Tb 3.65, 9 La 3.68-3.75
La 0.3039 0.3039 0.3039  3 Tb 3.62, 9 La 3.68-3.84
La 0.6961 0.6961 0.6961  3 Tb 3.62, 9 La 3.68-3.84
La 0.8618 0.8618 0.8618  3 Tb 3.65, 9 La 3.68-3.75
Tb 0.4168 0.4168 0.4168  6 La 3.62-3.65, 6 Tb 3.68
Tb 0.5832 0.5832 0.5832  6 La 3.62-3.65, 6 Tb 3.68

Calculated values
E	-4.80	eV per atom
E_form	0.025	eV/atom
magnetic moment	0.0001	μB per atom
excess energy over the best structure of this formula in the dataset	0.000	eV per atom

***

Record 2
# Cr2TcMoH

Crystalline Cr2TcMoH at its relaxed geometry (PBE-GGA, the Alexandria database).

a b c (Å): 3.7930 3.7930 3.9244
angles (deg): 90.00 90.00 90.00
Closest atoms and distances in Å follow each position.
Sites, in units of the cell vectors:
Cr 0.0000 0.5000 0.0000  2 H 1.90
Cr 0.5000 0.0000 0.0000  2 H 1.90
Tc 0.0000 0.0000 0.5000  4 Mo 2.68, 8 Cr 2.73
Mo 0.5000 0.5000 0.5000  2 H 1.96
H 0.5000 0.5000 0.0000  4 Cr 1.90, 2 Mo 1.96

Calculated values
E	-8.57	eV per atom
magnetic moment	0.0000	μB per atom

***

Record 3
# RbPt2I

Crystalline RbPt2I at its relaxed geometry (PBE-GGA, the Alexandria database).

a b c (Å): 5.1127 5.1127 5.1127
angles (deg): 60.00 60.00 60.00
Closest atoms and distances in Å follow each position.
Sites, in units of the cell vectors:
Rb 0.0000 0.0000 0.0000  8 Pt 3.13
Pt 0.2500 0.2500 0.2500  4 I 3.13, 4 Rb 3.13
Pt 0.7500 0.7500 0.7500  4 Rb 3.13, 4 I 3.13
I 0.5000 0.5000 0.5000  8 Pt 3.13

Calculated values
formation energy without anion corrections	2.9	eV/f.u.
E	-2.92	eV per atom
magnetic moment	0.0000	μB per atom
excess energy over the best structure of this formula in the dataset	0.702	eV per atom

***

Record 4
# CaZr2Pt

Crystalline CaZr2Pt at its relaxed geometry (PBE-GGA, the Alexandria database).

a b c (Å): 3.3566 3.3566 8.6294
angles (deg): 90.00 90.00 90.00
Closest atoms and distances in Å follow each position.
Sites, in units of the cell vectors:
Ca 0.0000 0.0000 0.0000  4 Ca 3.36, 8 Zr 3.58
Zr 0.5000 0.5000 0.3105  4 Pt 2.88
Zr 0.5000 0.5000 0.6895  4 Pt 2.88
Pt 0.0000 0.0000 0.5000  8 Zr 2.88

Calculated values
E	-6.49	eV per atom
E_form	-0.209	eV/atom
magnetic moment	0.5500	μB per atom
excess energy over the best structure of this formula in the dataset	0.249	eV per atom

***

Record 5
# TbPm2Ni

Crystalline TbPm2Ni at its relaxed geometry (PBE-GGA, the Alexandria database).

a b c (Å): 9.4351 9.4351 9.4351
angles (deg): 23.43 23.43 23.43
Closest atoms and distances in Å follow each position.
Sites, in units of the cell vectors:
Tb 0.0000 0.0000 0.0000  6 Pm 3.64-3.67, 6 Tb 3.83
Pm 0.5603 0.5603 0.5603  3 Ni 2.78
Pm 0.7719 0.7719 0.7719  3 Ni 2.77
Ni 0.1657 0.1657 0.1657  6 Pm 2.77-2.78

Calculated values
E	-5.02	eV per atom
E_form	-0.044	eV/atom
magnetic moment	0.0005	μB per atom
excess energy over the best structure of this formula in the dataset	0.156	eV per atom

***

Record 6
# CaSmAl4

Crystalline CaSmAl4 at its relaxed geometry (PBE-GGA, the Alexandria database).

a b c (Å): 5.6439 5.6439 5.6439
angles (deg): 60.00 60.00 60.00
Closest atoms and distances in Å follow each position.
Sites, in units of the cell vectors:
Ca 0.0000 0.0000 0.0000  12 Al 3.31, 4 Sm 3.46
Sm 0.7500 0.7500 0.7500  12 Al 3.31, 4 Ca 3.46
Al 0.3752 0.3752 0.3752  6 Al 2.82-2.83
Al 0.3752 0.3752 0.8743  6 Al 2.82-2.83
Al 0.3752 0.8743 0.3752  6 Al 2.82-2.83
Al 0.8743 0.3752 0.3752  6 Al 2.82-2.83

Calculated values
E	-4.02	eV per atom
E_form	-0.409	eV/atom
magnetic moment	0.0000	μB per atom

***

Record 7
# AcGdInPt

Crystalline AcGdInPt at its relaxed geometry (PBE-GGA, the Alexandria database).

a b c (Å): 5.3907 5.3907 5.3907
angles (deg): 60.00 60.00 60.00
Closest atoms and distances in Å follow each position.
Sites, in units of the cell vectors:
Ac 0.0000 0.0000 0.0000  4 In 3.30, 4 Pt 3.30
Gd 0.5000 0.5000 0.5000  4 In 3.30, 4 Pt 3.30
In 0.7500 0.7500 0.7500  4 Gd 3.30, 4 Ac 3.30
Pt 0.2500 0.2500 0.2500  4 Gd 3.30, 4 Ac 3.30

Calculated values
E	-7.36	eV per atom
E_form	-0.622	eV/atom
magnetic moment	1.7764	μB per atom

***

Record 8
# Tb3Pr4Se8

Crystalline Tb3Pr4Se8 at its relaxed geometry (PBE-GGA, the Alexandria database).

a b c (Å): 8.3486 8.3486 8.3394
angles (deg): 119.93 119.93 90.04
Closest atoms and distances in Å follow each position.
Sites, in units of the cell vectors:
Tb 0.0000 0.0000 0.0000  6 Se 2.89-2.90
Tb 0.0000 0.5000 0.5000  6 Se 2.95
Tb 0.5000 0.0000 0.5000  6 Se 2.95
Pr 0.0000 0.0000 0.5000  6 Se 3.03
Pr 0.0000 0.5000 0.0000  6 Se 2.95
Pr 0.5000 0.0000 0.0000  6 Se 2.95
Pr 0.5000 0.5000 0.0000  6 Se 3.01
Se 0.2453 0.7547 0.0000  3 Tb 2.90-2.95, 3 Pr 2.95-3.01
Se 0.2512 0.2512 0.0123  1 Tb 2.89, 4 Pr 2.95-3.03
Se 0.2520 0.2520 0.4906  3 Tb 2.90-2.95, 2 Pr 3.01-3.03
Se 0.2565 0.7435 0.5000  2 Tb 2.95, 3 Pr 2.95-3.03
Se 0.7435 0.2565 0.5000  2 Tb 2.95, 3 Pr 2.95-3.03
Se 0.7480 0.7480 0.5094  3 Tb 2.90-2.95, 2 Pr 3.01-3.03
Se 0.7488 0.7488 0.9877  1 Tb 2.89, 4 Pr 2.95-3.03
Se 0.7547 0.2453 0.0000  3 Tb 2.90-2.95, 3 Pr 2.95-3.01

Calculated values
formation energy without anion corrections	-27.7	eV/f.u.
E	-5.91	eV per atom
magnetic moment	0.0000	μB per atom
excess energy over the best structure of this formula in the dataset	0.000	eV per atom

***

Record 9
# NdSmTh2

Crystalline NdSmTh2 at its relaxed geometry (PBE-GGA, the Alexandria database).

a b c (Å): 12.6888 12.6888 12.6888
angles (deg): 15.99 15.99 15.99
Closest atoms and distances in Å follow each position.
Sites, in units of the cell vectors:
Nd 0.0000 0.0000 0.0000  2 Th 3.30, 6 Nd 3.53
Sm 0.5000 0.5000 0.5000  6 Sm 3.53, 6 Th 3.60
Th 0.0877 0.0877 0.0877  1 Nd 3.30, 6 Th 3.53, 3 Sm 3.60
Th 0.9123 0.9123 0.9123  1 Nd 3.30, 6 Th 3.53, 3 Sm 3.60

Calculated values
E	-5.86	eV per atom
E_form	0.217	eV/atom
magnetic moment	0.0001	μB per atom
excess energy over the best structure of this formula in the dataset	0.187	eV per atom

***

Record 10
# BaNaY2

Crystalline BaNaY2 at its relaxed geometry (PBE-GGA, the Alexandria database).

a b c (Å): 12.9017 12.9017 12.9017
angles (deg): 154.09 154.09 36.97
Closest atoms and distances in Å follow each position.
Sites, in units of the cell vectors:
Ba 0.3750 0.6250 0.7500  4 Na 4.09, 8 Y 4.45
Ba 0.6250 0.3750 0.2500  4 Na 4.09, 8 Y 4.45
Na 0.1250 0.8750 0.2500  4 Y 3.38
Na 0.8750 0.1250 0.7500  4 Y 3.38
Y 0.0000 0.0000 0.0000  2 Y 2.89
Y 0.0000 0.0000 0.5000  2 Y 2.89
Y 0.0000 0.5000 0.0000  2 Y 2.89
Y 0.5000 0.0000 0.5000  2 Y 2.89

Calculated values
E	-3.17	eV per atom
E_form	0.873	eV/atom
magnetic moment	0.0003	μB per atom
excess energy over the best structure of this formula in the dataset	0.438	eV per atom

***

Record 11
# YTaTi2O8

Crystalline YTaTi2O8 at its relaxed geometry (PBE-GGA, the Alexandria database).

a b c (Å): 4.8083 4.8083 6.4865
angles (deg): 92.21 92.21 86.28
Closest atoms and distances in Å follow each position.
Sites, in units of the cell vectors:
Y 0.0000 0.0000 0.0000  6 O 2.25-2.26
Ta 0.0000 0.0000 0.5000  6 O 1.99-2.03
Ti 0.4583 0.4583 0.7565  4 O 1.82-1.96
Ti 0.5417 0.5417 0.2435  4 O 1.82-1.96
O 0.2078 0.7921 0.2761  1 Ti 1.96, 1 Ta 1.99
O 0.2079 0.7922 0.7239  1 Ti 1.96, 1 Ta 1.99
O 0.2891 0.2891 0.5239  1 Ti 1.87, 1 Ta 2.03
O 0.3217 0.3217 0.9870  1 Ti 1.82
O 0.6783 0.6783 0.0130  1 Ti 1.82
O 0.7109 0.7109 0.4761  1 Ti 1.87, 1 Ta 2.03
O 0.7921 0.2078 0.2761  1 Ti 1.96, 1 Ta 1.99
O 0.7922 0.2079 0.7239  1 Ti 1.96, 1 Ta 1.99

Calculated values
formation energy without anion corrections	-36.7	eV/f.u.
E	-9.20	eV per atom
magnetic moment	0.0000	μB per atom

***

Record 12
# CrCdRe2

Crystalline CrCdRe2 at its relaxed geometry (PBE-GGA, the Alexandria database).

a b c (Å): 2.8173 3.9215 5.7196
angles (deg): 90.00 90.00 90.00
Closest atoms and distances in Å follow each position.
Sites, in units of the cell vectors:
Cr 0.0000 0.0000 0.0000  1 Re 2.35
Cd 0.5000 0.5000 0.7138  6 Re 2.81-2.97, 2 Cd 2.82, 4 Cr 2.92
Re 0.0000 0.0000 0.4109  1 Cr 2.35
Re 0.5000 0.5000 0.2054  4 Cr 2.69, 6 Re 2.69-2.82, 2 Cd 2.81-2.91

Calculated values
E	-8.43	eV per atom
E_form	0.429	eV/atom
magnetic moment	0.0015	μB per atom

***

Record 13
# Nd2AuC2

Crystalline Nd2AuC2 at its relaxed geometry (PBE-GGA, the Alexandria database).

a b c (Å): 7.4847 7.4847 7.0106
angles (deg): 102.49 102.49 32.67
Closest atoms and distances in Å follow each position.
Sites, in units of the cell vectors:
Nd 0.0269 0.6817 0.8646  4 C 2.45-2.74
Nd 0.3183 0.9731 0.6354  4 C 2.45-2.74
Nd 0.6817 0.0269 0.3646  4 C 2.45-2.74
Nd 0.9731 0.3183 0.1354  4 C 2.45-2.74
Au 0.3441 0.6559 0.2500  6 Nd 3.11-3.24
Au 0.6559 0.3441 0.7500  6 Nd 3.11-3.24
C 0.1439 0.4040 0.4719  1 C 1.33
C 0.4040 0.1439 0.9719  1 C 1.33
C 0.5960 0.8561 0.0281  1 C 1.33
C 0.8561 0.5960 0.5281  1 C 1.33

Calculated values
E	-6.64	eV per atom
E_form	-0.383	eV/atom
magnetic moment	0.0000	μB per atom

***

Record 14
# Ac3RhSO

Crystalline Ac3RhSO at its relaxed geometry (PBE-GGA, the Alexandria database).

a b c (Å): 9.0475 4.1927 9.3402
angles (deg): 90.00 101.17 90.00
Closest atoms and distances in Å follow each position.
Sites, in units of the cell vectors:
Ac 0.0750 0.2500 0.3287  3 Rh 2.93-2.98
Ac 0.3126 0.2500 0.9848  3 O 2.46
Ac 0.3805 0.7500 0.6397  1 O 2.46
Ac 0.6195 0.2500 0.3603  1 O 2.46
Ac 0.6874 0.7500 0.0152  3 O 2.46
Ac 0.9250 0.7500 0.6713  3 Rh 2.93-2.98
Rh 0.1526 0.2500 0.6479  6 Ac 2.93-3.20
Rh 0.8474 0.7500 0.3521  6 Ac 2.93-3.20
S 0.3374 0.7500 0.2705  7 Ac 3.28-3.39, 1 O 3.60
S 0.6626 0.2500 0.7295  7 Ac 3.28-3.39, 1 O 3.60
O 0.4167 0.7500 0.9072  4 Ac 2.46
O 0.5833 0.2500 0.0928  4 Ac 2.46

Calculated values
formation energy without anion corrections	-10.6	eV/f.u.
E	-6.56	eV per atom
magnetic moment	0.0146	μB per atom

***

Record 15
# YTaPb2

Crystalline YTaPb2 at its relaxed geometry (PBE-GGA, the Alexandria database).

a b c (Å): 3.2429 3.8269 7.9141
angles (deg): 90.00 90.00 90.00
Closest atoms and distances in Å follow each position.
Sites, in units of the cell vectors:
Y 0.0000 0.0000 0.0000  2 Y 3.24, 8 Pb 3.32
Ta 0.0000 0.0000 0.5000  8 Pb 3.08, 2 Ta 3.24
Pb 0.5000 0.5000 0.2751  4 Ta 3.08, 2 Pb 3.24, 4 Y 3.32
Pb 0.5000 0.5000 0.7249  4 Ta 3.08, 2 Pb 3.24, 4 Y 3.32

Calculated values
E	-6.24	eV per atom
E_form	0.192	eV/atom
magnetic moment	0.0000	μB per atom

***

Record 16
# Cd2P2Pb

Crystalline Cd2P2Pb at its relaxed geometry (PBE-GGA, the Alexandria database).

a b c (Å): 6.6304 6.6304 6.6304
angles (deg): 140.54 140.54 57.04
Closest atoms and distances in Å follow each position.
Sites, in units of the cell vectors:
Cd 0.1190 0.1190 0.0000  4 P 2.71, 1 Cd 2.77
Cd 0.8810 0.8810 0.0000  4 P 2.71, 1 Cd 2.77
P 0.2500 0.7500 0.5000  4 Cd 2.71
P 0.7500 0.2500 0.5000  4 Cd 2.71
Pb 0.5000 0.5000 0.0000  8 Cd 3.46, 8 P 3.67

Calculated values
E	-2.95	eV per atom
E_form	0.321	eV/atom
magnetic moment	0.0000	μB per atom
excess energy over the best structure of this formula in the dataset	0.152	eV per atom

***

Record 17
# LiDyThTe3

Crystalline LiDyThTe3 at its relaxed geometry (PBE-GGA, the Alexandria database).

a b c (Å): 9.1650 4.1767 9.4115
angles (deg): 90.00 103.98 90.00
Closest atoms and distances in Å follow each position.
Sites, in units of the cell vectors:
Li 0.0849 0.2500 0.0863  4 Te 2.71-2.79, 2 Li 2.86
Li 0.9151 0.7500 0.9137  4 Te 2.71-2.79, 2 Li 2.86
Dy 0.3342 0.7500 0.3589  6 Te 3.02-3.30
Dy 0.6658 0.2500 0.6411  6 Te 3.02-3.30
Th 0.1986 0.2500 0.7234  7 Te 3.16-3.30
Th 0.8014 0.7500 0.2766  7 Te 3.16-3.30
Te 0.0875 0.2500 0.3745  1 Li 2.71
Te 0.2288 0.7500 0.9982  3 Li 2.71-2.79
Te 0.4493 0.7500 0.6982  3 Dy 3.02-3.11, 2 Th 3.16
Te 0.5507 0.2500 0.3018  3 Dy 3.02-3.11, 2 Th 3.16
Te 0.7712 0.2500 0.0018  3 Li 2.71-2.79
Te 0.9125 0.7500 0.6255  1 Li 2.71

Calculated values
formation energy without anion corrections	-6.8	eV/f.u.
E	-5.02	eV per atom
magnetic moment	0.0000	μB per atom

***

Record 18
# YSnAs3

Crystalline YSnAs3 at its relaxed geometry (PBE-GGA, the Alexandria database).

a b c (Å): 5.1746 5.1746 5.1746
angles (deg): 90.00 90.00 90.00
Closest atoms and distances in Å follow each position.
Sites, in units of the cell vectors:
Y 0.0000 0.0000 0.0000  12 As 3.66
Sn 0.5000 0.5000 0.5000  6 As 2.59
As 0.0000 0.5000 0.5000  2 Sn 2.59
As 0.5000 0.0000 0.5000  2 Sn 2.59
As 0.5000 0.5000 0.0000  2 Sn 2.59

Calculated values
E	-4.57	eV per atom
E_form	0.316	eV/atom
magnetic moment	0.0000	μB per atom
excess energy over the best structure of this formula in the dataset	0.000	eV per atom

***

Record 19
# ScTc2Ir

Crystalline ScTc2Ir at its relaxed geometry (PBE-GGA, the Alexandria database).

a b c (Å): 4.9592 4.9592 2.7781
angles (deg): 90.00 90.00 114.11
Closest atoms and distances in Å follow each position.
Sites, in units of the cell vectors:
Sc 0.0000 0.0000 0.0000  2 Ir 2.70, 2 Sc 2.78, 8 Tc 2.84
Tc 0.0000 0.5000 0.5000  4 Tc 2.70-2.78, 4 Sc 2.84, 4 Ir 2.84
Tc 0.5000 0.0000 0.5000  4 Tc 2.70-2.78, 4 Ir 2.84, 4 Sc 2.84
Ir 0.5000 0.5000 0.0000  2 Sc 2.70, 2 Ir 2.78, 8 Tc 2.84

Calculated values
E	-9.05	eV per atom
E_form	-0.067	eV/atom
magnetic moment	0.0000	μB per atom
excess energy over the best structure of this formula in the dataset	0.126	eV per atom

***

Record 20
# LaPr3Ga3

Crystalline LaPr3Ga3 at its relaxed geometry (PBE-GGA, the Alexandria database).

a b c (Å): 7.8126 7.8126 7.8126
angles (deg): 72.87 72.87 72.87
Closest atoms and distances in Å follow each position.
Sites, in units of the cell vectors:
La 0.1206 0.1206 0.1206  6 Ga 3.08-3.18
La 0.8794 0.8794 0.8794  6 Ga 3.08-3.18
Pr 0.1591 0.4032 0.6585  4 Ga 3.05-3.24
Pr 0.3415 0.8409 0.5968  4 Ga 3.05-3.24
Pr 0.4032 0.6585 0.1591  4 Ga 3.05-3.24
Pr 0.5968 0.3415 0.8409  4 Ga 3.05-3.24
Pr 0.6585 0.1591 0.4032  4 Ga 3.05-3.24
Pr 0.8409 0.5968 0.3415  4 Ga 3.05-3.24
Ga 0.0130 0.8273 0.4686  1 Ga 2.82, 2 Pr 3.05-3.06, 1 La 3.08
Ga 0.1727 0.5314 0.9870  1 Ga 2.82, 2 Pr 3.05-3.06, 1 La 3.08
Ga 0.4686 0.0130 0.8273  1 Ga 2.82, 2 Pr 3.05-3.06, 1 La 3.08
Ga 0.5314 0.9870 0.1727  1 Ga 2.82, 2 Pr 3.05-3.06, 1 La 3.08
Ga 0.8273 0.4686 0.0130  1 Ga 2.82, 2 Pr 3.05-3.06, 1 La 3.08
Ga 0.9870 0.1727 0.5314  1 Ga 2.82, 2 Pr 3.05-3.06, 1 La 3.08

Calculated values
E	-4.39	eV per atom
E_form	-0.336	eV/atom
magnetic moment	0.0000	μB per atom